No. 1
# AcTlPb4

A geometry-optimized AcTlPb4 structure (PBE, Alexandria).

Computed properties:
Excess energy over the best structure of this formula in the dataset ... 12 meV per atom
D(E_F) ... 0.480 states/eV/atom
Calculated formation energy ... -0.172 eV per atom

a = 5.1253 Å, b = 14.4522 Å, c = 5.2276 Å
α = 90.00°, β = 90.00°, γ = 90.00°
Last column: nearest neighbours and their distance in Å.
Space group Cmmm (No. 65)
Symmetry-distinct sites (fractional):
Ac1 0.0000 0.0000 0.0000  8 Pb 3.59, 4 Tl 3.66
Tl1 0.0000 0.5000 0.5000  8 Pb 3.56-3.63, 4 Ac 3.66
Pb1 0.0000 0.1707 0.5000  8 Pb 3.44-3.66, 2 Tl 3.56, 2 Ac 3.59
Pb2 0.0000 0.3257 0.0000  8 Pb 3.37-3.66, 2 Ac 3.59, 2 Tl 3.63



No. 2
# Pm3ZnRu

A geometry-optimized Pm3ZnRu structure (PBE, Alexandria).

Computed properties:
D(E_F) ... 0.807 states/eV/atom
Calculated formation energy ... -0.259 eV per atom

a = 6.5415 Å, b = 9.8526 Å, c = 15.8791 Å
α = 90.00°, β = 90.00°, γ = 90.00°
Last column: nearest neighbours and their distance in Å.
Space group Fmmm (No. 69)
Symmetry-distinct sites (fractional):
Pm1 0.0000 0.0000 0.1961  4 Ru 3.08, 2 Zn 3.36, 2 Pm 3.40
Pm2 0.0000 0.1872 0.3950  2 Ru 2.89, 2 Zn 3.20
Zn1 0.1917 0.0000 0.0000  1 Zn 2.51
Ru1 0.2500 0.2500 0.2500  8 Pm 2.89-3.08